CaLaCo | GGA-PBE | relaxed

Results
VASP energy in eV/atom: -4.626
Crystal system: trigonal
ΔE_f in eV per atom: 0.052

Cell: 3.958 3.958 6.609 Å, 90.00 90.00 120.00°
Fractional coordinates of all 3 atoms:
1 Ca 0.000 0.000 0.000
2 La 0.333 0.667 0.468
3 Co 0.667 0.333 0.266